No. 1
VASP calculation (PBE-GGA) on a relaxed LiPr12Zn6 crystal.

Values from the calculation:
Space-group type: R-3
Total moment (Bohr magnetons per cell): 0.0
Formation energy from the elements (meV per atom): -40

Lattice parameters (Å, degrees): 9.120 9.120 9.120 110.95 110.95 110.95
Element x y z (fractional)
Pr 0.814 0.637 0.511
Pr 0.363 0.489 0.186
Pr 0.511 0.814 0.637
Pr 0.168 0.719 0.070
Pr 0.489 0.186 0.363
Pr 0.637 0.511 0.814
Pr 0.186 0.363 0.489
Pr 0.070 0.168 0.719
Pr 0.832 0.281 0.930
Pr 0.281 0.930 0.832
Pr 0.930 0.832 0.281
Pr 0.719 0.070 0.168
Zn 0.353 0.080 0.596
Zn 0.920 0.404 0.647
Zn 0.647 0.920 0.404
Zn 0.080 0.596 0.353
Zn 0.596 0.353 0.080
Zn 0.404 0.647 0.920
Li 0.000 0.000 0.000

No. 2
VASP calculation (PBE-GGA) on a relaxed Rb2ErMgF6 crystal.

Values from the calculation:
E_form (uncorrected) (eV per atom): -3.14
Space-group type: Immm
Total moment (Bohr magnetons per cell): 1.2

Lattice parameters (Å, degrees): 6.477 5.933 8.666 90.00 90.00 90.00
Element x y z (fractional)
F 0.000 0.750 0.256
F 0.719 0.993 0.000
F 0.500 0.250 0.756
F 0.781 0.493 0.500
F 0.000 0.750 0.744
F 0.281 0.993 0.000
F 0.719 0.507 0.000
F 0.281 0.507 0.000
F 0.500 0.250 0.244
F 0.219 0.493 0.500
F 0.219 0.007 0.500
F 0.781 0.007 0.500
Rb 0.000 0.250 0.255
Rb 0.500 0.750 0.755
Rb 0.000 0.250 0.745
Rb 0.500 0.750 0.245
Er 0.500 0.250 0.500
Er 0.000 0.750 0.000
Mg 0.500 0.250 0.000
Mg 0.000 0.750 0.500

No. 3
VASP calculation (PBE-GGA) on a relaxed Te2SeCl crystal.

Values from the calculation:
E_form (uncorrected) (eV per atom): 0.15
Space-group type: Cmm2
Total moment (Bohr magnetons per cell): 0.0
E above lowest polymorph (meV/atom): 295

Lattice parameters (Å, degrees): 4.929 4.929 7.786 90.00 90.00 129.87
Element x y z (fractional)
Te 0.500 0.500 0.250
Te 0.000 0.000 0.987
Se 0.500 0.500 0.760
Cl 0.000 0.000 0.502

No. 4
VASP calculation (PBE-GGA) on a relaxed CsErCdF6 crystal.

Values from the calculation:
E_form (uncorrected) (eV per atom): -3.20
Space-group type: Imma
Total moment (Bohr magnetons per cell): 0.0

Lattice parameters (Å, degrees): 8.282 8.022 8.205 119.27 120.31 90.00
Element x y z (fractional)
F 0.807 0.057 0.615
F 0.429 0.075 0.258
F 0.193 0.943 0.385
F 0.571 0.925 0.742
F 0.830 0.684 0.258
F 0.419 0.669 0.839
F 0.830 0.075 0.258
F 0.170 0.316 0.742
F 0.581 0.331 0.161
F 0.170 0.925 0.742
F 0.571 0.316 0.742
F 0.429 0.684 0.258
Cd 0.500 0.000 0.000
Cd 0.500 0.500 0.000
Er 0.500 0.000 0.500
Er 0.000 0.000 0.500
Cs 0.838 0.588 0.676
Cs 0.162 0.412 0.324